First-principles (PBEsol) data for a relaxed structure of LiCr2Sb, as listed in Alexandria via LeMat-Bulk.

Cell and atoms, written as CIF:
```
data_LiCr2Sb
_space_group_name_H-M_alt 'R -3 m'
_space_group_IT_number 166
_space_group_name_Hall '-R 3 2"'
_cell_length_a 3.1412
_cell_length_b 3.1412
_cell_length_c 26.8706
_cell_angle_alpha 90.00
_cell_angle_beta 90.00
_cell_angle_gamma 120.00
loop_
_atom_site_label
_atom_site_type_symbol
_atom_site_fract_x
_atom_site_fract_y
_atom_site_fract_z
Li1 Li 0.0000 0.0000 0.0000
Cr1 Cr 0.0000 0.0000 0.2474
Sb1 Sb 0.0000 0.0000 0.5000
```

Properties
Formation energy without anion corrections in eV/atom: 0.808
Crystal system: trigonal


First-principles (PBEsol) data for a relaxed structure of LiCrSb4, as listed in Alexandria via LeMat-Bulk.

Cell and atoms, written as CIF:
```
data_LiCrSb4
_space_group_name_H-M_alt 'F -4 3 m'
_space_group_IT_number 216
_space_group_name_Hall 'F -4 2 3'
_cell_length_a 8.700
_cell_length_b 8.700
_cell_length_c 8.700
_cell_angle_alpha 90.00
_cell_angle_beta 90.00
_cell_angle_gamma 90.00
loop_
_atom_site_label
_atom_site_type_symbol
_atom_site_fract_x
_atom_site_fract_y
_atom_site_fract_z
Li1 Li 0.000 0.000 0.000
Cr1 Cr 0.250 0.250 0.750
Sb1 Sb 0.125 0.125 0.375
```

Properties
Formation energy without anion corrections in eV/atom: 0.466
Crystal system: cubic


First-principles (PBEsol) data for a relaxed structure of Li2ScCr, as listed in Alexandria via LeMat-Bulk.

Cell and atoms, written as CIF:
```
data_Li2ScCr
_space_group_name_H-M_alt 'I m m m'
_space_group_IT_number 71
_space_group_name_Hall '-I 2 2'
_cell_length_a 3.203
_cell_length_b 4.466
_cell_length_c 9.903
_cell_angle_alpha 90.00
_cell_angle_beta 90.00
_cell_angle_gamma 90.00
loop_
_atom_site_label
_atom_site_type_symbol
_atom_site_fract_x
_atom_site_fract_y
_atom_site_fract_z
Li1 Li 0.000 0.000 0.233
Sc1 Sc 0.000 0.500 0.000
Cr1 Cr 0.000 0.500 0.500
```

Properties
Energy above the most stable polymorph in this dataset in kcal/mol of atoms: 0.00
E_form in eV per atom: 0.4109
Crystal system: orthorhombic


First-principles (PBEsol) data for a relaxed structure of LiSc2Cr, as listed in Alexandria via LeMat-Bulk.

Cell and atoms, written as CIF:
```
data_LiSc2Cr
_space_group_name_H-M_alt 'I -4 m 2'
_space_group_IT_number 119
_space_group_name_Hall 'I -4 -2'
_cell_length_a 4.002
_cell_length_b 4.002
_cell_length_c 9.489
_cell_angle_alpha 90.00
_cell_angle_beta 90.00
_cell_angle_gamma 90.00
loop_
_atom_site_label
_atom_site_type_symbol
_atom_site_fract_x
_atom_site_fract_y
_atom_site_fract_z
Li1 Li 0.000 0.000 0.000
Sc1 Sc 0.000 0.000 0.500
Sc2 Sc 0.000 0.500 0.250
Cr1 Cr 0.000 0.500 0.750
```

Properties
E_form in eV per atom: 0.4147
Crystal system: tetragonal


Spin magnetization in μB/f.u., matching the order above: 8.0; 4.7; 3.3; 2.6